Material: YZnMo2
Method: DFT, PBE
State: relaxed

Calculated values
* ΔH_f (0 K): 5.079 kcal/mol of atoms
* DFT total energy: -28.52 eV/f.u.

abc: 4.4719 4.8321 6.7568
angles: 90.00 90.00 90.00
With the nearest neighbours (Å) after each atom.
Element x y z (fractional)
Y (0.0000, 0.0000, 0.0000)  4 Mo 2.85-2.90, 4 Zn 2.86-2.90
Y (0.5000, 0.5000, 0.5000)  4 Mo 2.85-2.90, 4 Zn 2.86-2.90
Zn (0.0000, 0.5000, 0.7632)  4 Mo 2.82-2.93, 4 Y 2.86-2.90
Zn (0.5000, 0.0000, 0.2632)  4 Mo 2.82-2.93, 4 Y 2.86-2.90
Mo (0.0000, 0.0000, 0.5180)  2 Mo 2.69, 4 Zn 2.82-2.93
Mo (0.0000, 0.5000, 0.2380)  2 Mo 2.69, 4 Y 2.85-2.90
Mo (0.5000, 0.0000, 0.7380)  2 Mo 2.69, 4 Y 2.85-2.90
Mo (0.5000, 0.5000, 0.0180)  2 Mo 2.69, 4 Zn 2.82-2.93



Material: YZn2Mo
Method: DFT, PBE
State: relaxed

Calculated values
* ΔH_f (0 K): 4.375 kcal/mol of atoms
* DFT total energy: -19.08 eV/f.u.
* relative energy among the computed polymorphs: 170 meV/atom

abc: 9.5689 2.9674 5.4306
angles: 90.00 99.50 90.00
With the nearest neighbours (Å) after each atom.
Element x y z (fractional)
Y (0.0000, 0.0000, 0.0000)  2 Y 2.97, 6 Zn 3.04-3.14, 4 Mo 3.09
Y (0.5000, 0.5000, 0.0000)  2 Y 2.97, 6 Zn 3.04-3.14, 4 Mo 3.09
Zn (0.2390, 0.0000, 0.6940)  2 Zn 2.61, 3 Mo 2.78-2.87
Zn (0.2610, 0.5000, 0.3060)  2 Zn 2.61, 3 Mo 2.78-2.87
Zn (0.7390, 0.5000, 0.6940)  2 Zn 2.61, 3 Mo 2.78-2.87
Zn (0.7610, 0.0000, 0.3060)  2 Zn 2.61, 3 Mo 2.78-2.87
Mo (0.0000, 0.5000, 0.5000)  6 Zn 2.78-2.87, 2 Mo 2.97, 4 Y 3.09
Mo (0.5000, 0.0000, 0.5000)  6 Zn 2.78-2.87, 2 Mo 2.97, 4 Y 3.09



Material: YZnMo
Method: DFT, PBE
State: relaxed

Calculated values
* ΔH_f (0 K): 4.472 kcal/mol of atoms
* DFT total energy: -17.99 eV/f.u.
* relative energy among the computed polymorphs: 0 meV/atom

abc: 3.2051 3.6932 10.0058
angles: 90.00 90.00 90.00
With the nearest neighbours (Å) after each atom.
Element x y z (fractional)
Y (0.0000, 0.0000, 0.0000)  5 Zn 3.03-3.14, 5 Mo 3.10-3.11, 2 Y 3.21
Y (0.5000, 0.5000, 0.5000)  5 Zn 3.03-3.14, 5 Mo 3.10-3.11, 2 Y 3.21
Zn (0.0000, 0.0000, 0.6975)  4 Mo 2.69
Zn (0.5000, 0.5000, 0.1975)  4 Mo 2.69
Mo (0.0000, 0.0000, 0.3103)  4 Zn 2.69
Mo (0.5000, 0.5000, 0.8103)  4 Zn 2.69



Material: YZn2Mo
Method: DFT, PBE
State: relaxed

Calculated values
* ΔH_f (0 K): 0.444 kcal/mol of atoms
* DFT total energy: -19.77 eV/f.u.
* relative energy among the computed polymorphs: 0 meV/atom

abc: 3.0604 3.8418 6.1476
angles: 90.00 90.16 90.00
With the nearest neighbours (Å) after each atom.
Element x y z (fractional)
Y (0.0000, 0.0000, 0.0000)  8 Zn 3.04, 2 Y 3.06, 2 Mo 3.07
Zn (0.5002, 0.5000, 0.2911)  1 Zn 2.57, 4 Mo 2.77
Zn (0.4998, 0.5000, 0.7089)  1 Zn 2.57, 4 Mo 2.77
Mo (0.0000, 0.0000, 0.5000)  8 Zn 2.77, 2 Mo 3.06, 2 Y 3.07



Material: YZn2Mo
Method: DFT, PBE
State: relaxed

Calculated values
* ΔH_f (0 K): 3.458 kcal/mol of atoms
* DFT total energy: -19.24 eV/f.u.
* relative energy among the computed polymorphs: 131 meV/atom

abc: 2.9728 4.7519 5.1083
angles: 90.00 93.59 90.00
With the nearest neighbours (Å) after each atom.
Element x y z (fractional)
Y (0.0000, 0.0000, 0.0000)  8 Zn 2.79-3.07, 2 Y 2.97, 2 Mo 3.07
Zn (0.5394, 0.0000, 0.5066)  4 Mo 2.74-3.03, 4 Y 2.79-3.07, 4 Zn 2.92-2.97
Zn (0.5453, 0.5000, 0.1743)  3 Mo 2.69-2.94, 4 Y 2.90-2.98, 4 Zn 2.92-2.97
Mo (0.1464, 0.5000, 0.6328)  5 Zn 2.69-2.94, 2 Mo 2.97



Material: Y2ZrMo2
Method: DFT, PBE
State: relaxed

Calculated values
* ΔH_f (0 K): 14.854 kcal/mol of atoms
* DFT total energy: -39.92 eV/f.u.

abc: 4.2737 4.2737 13.1665
angles: 90.00 90.00 90.00
With the nearest neighbours (Å) after each atom.
Element x y z (fractional)
Y (0.0000, 0.5000, 0.2500)  4 Y 3.02, 4 Mo 3.07
Y (0.0000, 0.5000, 0.7500)  4 Y 3.02, 4 Mo 3.07
Y (0.5000, 0.0000, 0.2500)  4 Y 3.02, 4 Mo 3.07
Y (0.5000, 0.0000, 0.7500)  4 Y 3.02, 4 Mo 3.07
Zr (0.0000, 0.0000, 0.0000)  8 Mo 3.21
Zr (0.5000, 0.5000, 0.5000)  8 Mo 3.21
Mo (0.0000, 0.0000, 0.4174)  1 Mo 2.17
Mo (0.0000, 0.0000, 0.5826)  1 Mo 2.17
Mo (0.5000, 0.5000, 0.0826)  1 Mo 2.17
Mo (0.5000, 0.5000, 0.9174)  1 Mo 2.17



Material: YZrMo2
Method: DFT, PBE
State: relaxed

Calculated values
* ΔH_f (0 K): 8.232 kcal/mol of atoms
* DFT total energy: -35.25 eV/f.u.
* relative energy among the computed polymorphs: 250 meV/atom

abc: 3.4186 4.9708 9.3388
angles: 90.00 90.00 90.00
With the nearest neighbours (Å) after each atom.
Element x y z (fractional)
Y (0.0000, 0.0000, 0.0000)  4 Mo 3.00, 4 Y 3.02
Y (0.5000, 0.5000, 0.0000)  4 Mo 3.00, 4 Y 3.02
Zr (0.0000, 0.0000, 0.5000)  4 Mo 2.79, 4 Zr 3.02
Zr (0.5000, 0.5000, 0.5000)  4 Mo 2.79, 4 Zr 3.02
Mo (0.0000, 0.5000, 0.2637)  2 Zr 2.79, 2 Y 3.00, 4 Mo 3.02
Mo (0.0000, 0.5000, 0.7363)  2 Zr 2.79, 2 Y 3.00, 4 Mo 3.02
Mo (0.5000, 0.0000, 0.2637)  2 Zr 2.79, 2 Y 3.00, 4 Mo 3.02
Mo (0.5000, 0.0000, 0.7363)  2 Zr 2.79, 2 Y 3.00, 4 Mo 3.02



Material: YZrMo2
Method: DFT, PBE
State: relaxed

Calculated values
* ΔH_f (0 K): 12.037 kcal/mol of atoms
* DFT total energy: -34.59 eV/f.u.
* relative energy among the computed polymorphs: 415 meV/atom

abc: 3.2401 3.2401 27.0301
angles: 90.00 90.00 120.00
With the nearest neighbours (Å) after each atom.
Element x y z (fractional)
Y (0.0000, 0.0000, 0.0000)  6 Mo 3.06, 6 Y 3.24
Y (0.3333, 0.6667, 0.6667)  6 Mo 3.06, 6 Y 3.24
Y (0.6667, 0.3333, 0.3333)  6 Mo 3.06, 6 Y 3.24
Zr (0.0000, 0.0000, 0.5000)  6 Mo 2.80
Zr (0.3333, 0.6667, 0.1667)  6 Mo 2.80
Zr (0.6667, 0.3333, 0.8333)  6 Mo 2.80
Mo (0.0000, 0.0000, 0.2438)  3 Zr 2.80, 3 Y 3.06
Mo (0.0000, 0.0000, 0.7562)  3 Zr 2.80, 3 Y 3.06
Mo (0.3333, 0.6667, 0.4229)  3 Zr 2.80, 3 Y 3.06
Mo (0.3333, 0.6667, 0.9105)  3 Zr 2.80, 3 Y 3.06
Mo (0.6667, 0.3333, 0.0895)  3 Zr 2.80, 3 Y 3.06
Mo (0.6667, 0.3333, 0.5771)  3 Zr 2.80, 3 Y 3.06